Entry 1:
Density functional theory data (PBE) for crystalline AgIr3O at its relaxed geometry.

a = 4.871 Å, b = 4.871 Å, c = 4.871 Å
α = 90.00°, β = 90.00°, γ = 90.00°
Site moments in Bohr magnetons follow the coordinates.
Atoms (fractional coordinates):
Ir (0.000, 0.500, 0.000)  1.53
Ir (0.000, 0.000, 0.500)  1.46
Ir (0.500, 0.000, 0.000)  1.19
O (0.500, 0.500, 0.500)  1.21
Ag (0.000, 0.000, 0.000)  0.06

## Properties
Symmetry: Pm-3m, No. 221
DFT total energy in eV per cell: -19.217
Formation energy without anion corrections in eV/atom: 3.035

Entry 2:
Density functional theory data (PBE) for crystalline Ag3IrO at its relaxed geometry.

a = 5.077 Å, b = 5.077 Å, c = 5.077 Å
α = 90.00°, β = 90.00°, γ = 90.00°
Site moments in Bohr magnetons follow the coordinates.
Atoms (fractional coordinates):
Ir (0.000, 0.000, 0.000)  1.19
O (0.500, 0.500, 0.500)  -0.06
Ag (0.000, 0.500, 0.000)  0.08
Ag (0.000, 0.000, 0.500)  0.17
Ag (0.500, 0.000, 0.000)  0.03

## Properties
Symmetry: Pm-3m, No. 221
DFT total energy in eV per cell: -14.117
Formation energy without anion corrections in eV/atom: 1.651

Entry 3:
Density functional theory data (PBE) for crystalline Ag6IrO8 at its relaxed geometry.

a = 6.023 Å, b = 6.023 Å, c = 6.023 Å
α = 96.44°, β = 96.44°, γ = 96.44°
Site moments in Bohr magnetons follow the coordinates.
Atoms (fractional coordinates):
Ag (0.559, 0.253, 0.090)  0.03
Ag (0.090, 0.559, 0.253)  0.03
Ag (0.253, 0.090, 0.559)  0.03
Ag (0.441, 0.747, 0.910)  0.03
Ag (0.910, 0.441, 0.747)  0.03
Ag (0.747, 0.910, 0.441)  0.03
Ir (0.000, 0.000, 0.000)  0.93
O (0.426, 0.426, 0.426)  -0.07
O (0.574, 0.574, 0.574)  -0.07
O (0.227, 0.226, 0.908)  0.08
O (0.908, 0.227, 0.226)  0.08
O (0.226, 0.908, 0.227)  0.08
O (0.773, 0.774, 0.092)  0.08
O (0.092, 0.773, 0.774)  0.08
O (0.774, 0.092, 0.773)  0.08

## Properties
Symmetry: R-3, No. 148
DFT total energy in eV per cell: -67.729
Formation energy without anion corrections in eV/atom: -0.140

Entry 4:
Density functional theory data (PBE) for crystalline AgIr2O6 at its relaxed geometry.

a = 4.747 Å, b = 5.304 Å, c = 5.304 Å
α = 120.00°, β = 90.00°, γ = 90.00°
Site moments in Bohr magnetons follow the coordinates.
Atoms (fractional coordinates):
Ag (0.000, 0.000, 0.000)  0.01
Ir (0.500, 0.667, 0.333)  0.23
Ir (0.500, 0.333, 0.667)  0.23
O (0.721, 0.622, 0.622)  0.05
O (0.279, 0.622, 0.000)  0.05
O (0.279, 0.000, 0.622)  0.05
O (0.721, 0.378, 0.000)  0.05
O (0.279, 0.378, 0.378)  0.05
O (0.721, 0.000, 0.378)  0.05

## Properties
Symmetry: P-31m, No. 162
DFT total energy in eV per cell: -55.085
Formation energy without anion corrections in eV/atom: -0.529

Entry 5:
Density functional theory data (PBE) for crystalline Ag3IrO at its relaxed geometry.

a = 4.351 Å, b = 4.351 Å, c = 4.351 Å
α = 90.00°, β = 90.00°, γ = 90.00°
Site moments in Bohr magnetons follow the coordinates.
Atoms (fractional coordinates):
Ir (0.500, 0.500, 0.500)  0.79
O (0.000, 0.000, 0.000)  0.04
Ag (0.000, 0.500, 0.000)  0.02
Ag (0.000, 0.000, 0.500)  0.01
Ag (0.500, 0.000, 0.000)  0.07

## Properties
Symmetry: Pm-3m, No. 221
DFT total energy in eV per cell: -18.957
Formation energy without anion corrections in eV/atom: 0.683

Entry 6:
Density functional theory data (PBE) for crystalline Ag4Ir6O19 at its relaxed geometry.

a = 8.035 Å, b = 8.035 Å, c = 8.035 Å
α = 109.47°, β = 109.47°, γ = 109.47°
Atoms (fractional coordinates):
Ag (0.000, 0.000, 0.727)
Ag (0.000, 0.727, 0.000)
Ag (0.273, 0.273, 0.273)
Ag (0.727, 0.000, 0.000)
Ir (0.335, 0.500, 0.835)
Ir (0.665, 0.500, 0.165)
Ir (0.165, 0.665, 0.500)
Ir (0.835, 0.335, 0.500)
Ir (0.500, 0.835, 0.335)
Ir (0.500, 0.165, 0.665)
O (0.633, 0.000, 0.633)
O (0.367, 0.000, 0.367)
O (0.367, 0.367, 0.000)
O (0.633, 0.633, 0.000)
O (0.000, 0.633, 0.633)
O (0.000, 0.367, 0.367)
O (0.000, 0.000, 0.000)
O (0.343, 0.298, 0.624)
O (0.657, 0.281, 0.955)
O (0.674, 0.719, 0.376)
O (0.955, 0.657, 0.281)
O (0.326, 0.702, 0.045)
O (0.624, 0.343, 0.298)
O (0.045, 0.326, 0.702)
O (0.376, 0.674, 0.719)
O (0.702, 0.045, 0.326)
O (0.281, 0.955, 0.657)
O (0.298, 0.624, 0.343)
O (0.719, 0.376, 0.674)

## Properties
Symmetry: I23, No. 197
DFT total energy in eV per cell: -172.283
Formation energy without anion corrections in eV/atom: -0.466

Entry 7:
Density functional theory data (PBE) for crystalline AgIrO2 at its relaxed geometry.

a = 4.018 Å, b = 4.018 Å, c = 4.018 Å
α = 60.00°, β = 60.00°, γ = 60.00°
Atoms (fractional coordinates):
Ir (0.500, 0.500, 0.500)
O (0.250, 0.250, 0.250)
O (0.750, 0.750, 0.750)
Ag (0.000, 0.000, 0.000)

## Properties
Symmetry: Fm-3m, No. 225
DFT total energy in eV per cell: -19.126
Formation energy without anion corrections in eV/atom: 0.626

Entry 8:
Density functional theory data (PBE) for crystalline Ag2IrO4 at its relaxed geometry.

a = 3.134 Å, b = 5.144 Å, c = 6.444 Å
α = 111.60°, β = 104.07°, γ = 90.00°
Atoms (fractional coordinates):
Ag (0.305, 0.340, 0.610)
Ag (0.695, 0.660, 0.390)
Ir (0.000, 0.000, 0.000)
O (0.145, 0.969, 0.291)
O (0.855, 0.031, 0.709)
O (0.450, 0.737, 0.901)
O (0.550, 0.263, 0.099)

## Properties
Symmetry: C2/m, No. 12
DFT total energy in eV per cell: -37.131
Formation energy without anion corrections in eV/atom: -0.391

Entry 9:
Density functional theory data (PBE) for crystalline AgIrO4 at its relaxed geometry.

a = 5.313 Å, b = 5.007 Å, c = 6.944 Å
α = 108.50°, β = 109.99°, γ = 96.48°
Atoms (fractional coordinates):
Ag (0.346, 0.596, 0.191)
Ag (0.654, 0.404, 0.809)
Ir (0.078, 0.828, 0.656)
Ir (0.922, 0.172, 0.344)
O (0.026, 0.248, 0.135)
O (0.609, 0.887, 0.135)
O (0.246, 0.509, 0.591)
O (0.754, 0.491, 0.409)
O (0.155, 0.918, 0.409)
O (0.391, 0.113, 0.865)
O (0.845, 0.082, 0.591)
O (0.974, 0.752, 0.865)

## Properties
Symmetry: C2/c, No. 15
DFT total energy in eV per cell: -67.378
Formation energy without anion corrections in eV/atom: -0.357

Entry 10:
Density functional theory data (PBE) for crystalline AgP2IrO8 at its relaxed geometry.

a = 5.167 Å, b = 5.167 Å, c = 7.092 Å
α = 90.00°, β = 90.00°, γ = 120.00°
Atoms (fractional coordinates):
Ag (0.000, 0.000, 0.500)
P (0.333, 0.667, 0.752)
P (0.667, 0.333, 0.248)
Ir (0.000, 0.000, 0.000)
O (0.170, 0.339, 0.826)
O (0.170, 0.830, 0.826)
O (0.661, 0.830, 0.826)
O (0.339, 0.170, 0.174)
O (0.667, 0.333, 0.459)
O (0.333, 0.667, 0.541)
O (0.830, 0.661, 0.174)
O (0.830, 0.170, 0.174)

## Properties
Symmetry: P-3m1, No. 164
DFT total energy in eV per cell: -77.903
Formation energy without anion corrections in eV/atom: -1.309

Entry 11:
Density functional theory data (PBE) for crystalline Pa2AgIrO8 at its relaxed geometry.

a = 5.385 Å, b = 5.385 Å, c = 6.851 Å
α = 90.00°, β = 90.00°, γ = 120.00°
Site moments in Bohr magnetons follow the coordinates.
Atoms (fractional coordinates):
Pa (0.667, 0.333, 0.140)  0.05
Pa (0.333, 0.667, 0.860)  0.05
Ag (0.000, 0.000, 0.500)  0.01
Ir (0.000, 0.000, 0.000)  0.92
O (0.823, 0.646, 0.849)  0.09
O (0.354, 0.177, 0.849)  0.09
O (0.823, 0.177, 0.849)  0.09
O (0.177, 0.354, 0.151)  0.09
O (0.646, 0.823, 0.151)  0.09
O (0.177, 0.823, 0.151)  0.09
O (0.667, 0.333, 0.411)  0.02
O (0.333, 0.667, 0.589)  0.02

## Properties
Symmetry: P-3m1, No. 164
DFT total energy in eV per cell: -92.650
Formation energy without anion corrections in eV/atom: -1.857

Entry 12:
Density functional theory data (PBE) for crystalline PaAg2IrO6 at its relaxed geometry.

a = 5.668 Å, b = 5.668 Å, c = 5.822 Å
α = 60.87°, β = 60.87°, γ = 60.00°
Site moments in Bohr magnetons follow the coordinates.
Atoms (fractional coordinates):
Pa (0.816, 0.816, 0.552)  0.03
Ag (0.564, 0.564, 0.308)  0.02
Ag (0.068, 0.068, 0.795)  0.02
Ir (0.316, 0.316, 0.052)  0.38
O (0.552, 0.162, 0.288)  0.04
O (0.162, 0.998, 0.288)  0.04
O (0.998, 0.552, 0.288)  0.04
O (0.471, 0.634, 0.815)  0.04
O (0.634, 0.080, 0.815)  0.04
O (0.080, 0.470, 0.815)  0.04

## Properties
Symmetry: R-3, No. 148
DFT total energy in eV per cell: -68.295
Formation energy without anion corrections in eV/atom: -1.449